1.
NdPuIn2O8 | PBE-GGA | relaxed

The value obtained for the formation energy (no corrections) is -2.147 eV/atom. As for the electronic total energy: -7.50 eV/atom. The symmetry is Cmmm.

abc: 5.066 5.067 6.900
angles: 90.00 90.00 90.26
Each line ends with the local moment (μB).
Sites, in units of the cell vectors:
Nd: 0.000 0.000 0.500  0.00
Pu: 0.000 0.000 0.000  1.54
In: 0.500 0.500 0.749  0.00
In: 0.500 0.500 0.251  0.00
O: 0.187 0.813 0.213  -0.06
O: 0.704 0.704 0.000  -0.07
O: 0.813 0.187 0.213  -0.06
O: 0.813 0.187 0.787  -0.06
O: 0.296 0.296 0.000  -0.07
O: 0.187 0.813 0.787  -0.06
O: 0.683 0.683 0.500  -0.04
O: 0.317 0.317 0.500  -0.04

***

2.
NaRuRh | PBE-GGA | relaxed

Its energy of formation from the pure elements is 292.7 meV per atom. As for the electronic total energy: -5.69 eV/atom. The symmetry is P2_1/m.

abc: 3.767 2.750 10.658
angles: 89.94 90.00 90.00
Sites, in units of the cell vectors:
Na: 0.269 0.605 0.305
Na: 0.769 0.108 0.572
Rh: 0.770 0.105 0.125
Rh: 0.270 0.607 0.752
Ru: 0.770 0.106 0.882
Ru: 0.270 0.606 0.995

***

3.
LaEuScCd | PBE-GGA | relaxed

Its energy of formation from the pure elements is -13.7 meV per atom. As for the electronic total energy: -5.63 eV/atom. The symmetry is F-43m.

abc: 5.567 5.567 5.567
angles: 60.00 60.00 60.00
Each line ends with the local moment (μB).
Sites, in units of the cell vectors:
Eu: 0.750 0.750 0.750  6.83
Sc: 0.500 0.500 0.500  0.04
Cd: 0.000 0.000 0.000  0.00
La: 0.250 0.250 0.250  0.03

***

4.
CsTl2BiIr | PBE-GGA | relaxed

Its energy of formation from the pure elements is 122.8 meV per atom. As for the electronic total energy: -3.54 eV/atom. The symmetry is P4/mmm.

abc: 5.412 5.412 5.734
angles: 90.00 90.00 90.00
Sites, in units of the cell vectors:
Cs: 0.500 0.500 0.500
Tl: 0.000 0.500 0.000
Tl: 0.500 0.000 0.000
Ir: 0.000 0.000 0.000
Bi: 0.000 0.000 0.500